The following is a meta-GGA SCAN calculation of Mn2CdSi at its PBEsol-relaxed geometry, from the Alexandria database.

Properties
D(E_F)	2.2	states/eV per cell
E_form (uncorrected)	0.076	eV/f.u.
space group	I-4m2
excess energy over the best structure of this formula in the dataset	0	meV/atom

Cell: 3.705 3.705 4.904 Å, 112.20 112.20 90.00°
Each line ends with the local moment (μB).
Fractional positions:
Cd: 0.250 0.750 0.500  -0.10
Mn: 0.750 0.250 0.500  3.40
Si: 0.500 0.500 0.000  -0.18
Mn: 0.000 0.000 0.000  3.42

***

The following is a meta-GGA SCAN calculation of BeInS2N at its PBEsol-relaxed geometry, from the Alexandria database.

Properties
D(E_F)	1.3	states/eV per cell
E_form (uncorrected)	5.862	eV/f.u.
space group	P4/mmm
excess energy over the best structure of this formula in the dataset	862	meV/atom

Cell: 4.050 5.021 5.021 Å, 90.00 90.00 90.00°
Each line ends with the local moment (μB).
Fractional positions:
S: 0.000 0.000 0.500  0.15
In: 0.000 0.000 0.000  -0.03
N: 0.500 0.000 0.000  1.25
S: 0.000 0.500 0.000  0.15
Be: 0.500 0.500 0.500  -0.01

***

The following is a meta-GGA SCAN calculation of SiGeP2S at its PBEsol-relaxed geometry, from the Alexandria database.

Properties
D(E_F)	3.3	states/eV per cell
E_form (uncorrected)	3.367	eV/f.u.
space group	P4/mmm

Cell: 4.429 4.497 4.497 Å, 90.00 90.00 90.00°
Fractional positions:
S: 0.500 0.000 0.000
P: 0.000 0.500 0.000
Si: 0.000 0.000 0.000
Ge: 0.500 0.500 0.500
P: 0.000 0.000 0.500

***

The following is a meta-GGA SCAN calculation of Co2SO at its PBEsol-relaxed geometry, from the Alexandria database.

Properties
D(E_F)	3.1	states/eV per cell
E_form (uncorrected)	0.422	eV/f.u.
space group	Fm-3m

Cell: 3.768 3.768 3.768 Å, 60.00 60.00 60.00°
Each line ends with the local moment (μB).
Fractional positions:
O: 0.000 0.000 0.000  0.08
Co: 0.250 0.250 0.250  0.91
S: 0.500 0.500 0.500  0.00
Co: 0.750 0.750 0.750  0.91

***

The following is a meta-GGA SCAN calculation of TlReBr2 at its PBEsol-relaxed geometry, from the Alexandria database.

Properties
D(E_F)	1.1	states/eV per cell
E_form (uncorrected)	3.907	eV/f.u.
space group	P4/mmm
excess energy over the best structure of this formula in the dataset	460	meV/atom

Cell: 3.311 5.435 5.435 Å, 90.00 90.00 90.00°
Each line ends with the local moment (μB).
Fractional positions:
Br: 0.000 0.500 0.000  0.08
Re: 0.500 0.500 0.500  3.24
Br: 0.000 0.000 0.500  0.08
Tl: 0.500 0.000 0.000  0.01

***

The following is a meta-GGA SCAN calculation of YBe2Mo at its PBEsol-relaxed geometry, from the Alexandria database.

Properties
D(E_F)	3.2	states/eV per cell
formation energy from the elements	235	meV/atom
space group	R-3m
excess energy over the best structure of this formula in the dataset	0	meV/atom

Cell: 3.940 3.940 5.245 Å, 67.94 67.94 60.00°
Each line ends with the local moment (μB).
Fractional positions:
Be: 0.204 0.204 0.389  -0.03
Be: 0.796 0.796 0.611  -0.03
Mo: 0.500 0.500 0.500  1.00
Y: 0.000 0.000 0.000  0.02